Record 1
Below is an optimized crystal structure of SrEu3, with properties calculated at the PBE-GGA level.

```
8
Lattice="8.061 0.000 0.000 -4.031 6.981 0.000 0.000 0.000 6.535" Properties=species:S:1:pos:R:3 pbc="T T T"
Sr 0.000 4.654 1.634
Sr 4.031 2.327 4.902
Eu 0.000 2.289 4.902
Eu -2.048 5.837 4.902
Eu 1.982 1.145 1.634
Eu 2.048 5.837 4.902
Eu 6.079 1.145 1.634
Eu 4.031 4.692 1.634
```

Calculated values
DFT formation energy = 43 meV per atom
symmetry = P6_3/mmc (194)
ρ = 4.9 g cm⁻³
volume = 46.0 A^3/atom
density of states at the Fermi level = 1.255 states/eV per atom

Record 2
Below is an optimized crystal structure of SrEu6, with properties calculated at the PBE-GGA level.

```
7
Lattice="-4.588 4.588 4.588 4.588 -4.588 4.588 4.588 4.588 -4.588" Properties=species:S:1:pos:R:3 pbc="T T T"
Sr 0.000 0.000 0.000
Eu 4.588 2.294 0.000
Eu 4.588 0.000 2.294
Eu 2.294 4.588 0.000
Eu 2.294 0.000 4.588
Eu 0.000 4.588 2.294
Eu 0.000 2.294 4.588
```

Calculated values
DFT formation energy = 874 meV per atom
symmetry = Im-3m (229)
ρ = 4.3 g cm⁻³
volume = 55.2 A^3/atom
density of states at the Fermi level = 1.543 states/eV per atom

Record 3
Below is an optimized crystal structure of Sr5Eu, with properties calculated at the PBE-GGA level.

```
6
Lattice="2.975 -8.934 0.000 2.975 8.934 0.000 0.000 0.000 5.979" Properties=species:S:1:pos:R:3 pbc="T T T"
Sr 0.000 0.000 0.000
Sr 2.975 5.980 2.990
Sr 2.975 2.953 0.000
Sr 2.975 -2.953 0.000
Sr 2.975 -5.980 2.990
Eu 2.975 0.000 2.990
```

Calculated values
DFT formation energy = 18 meV per atom
symmetry = Cmmm (65)
ρ = 3.1 g cm⁻³
volume = 53.0 A^3/atom
density of states at the Fermi level = 1.052 states/eV per atom

Record 4
Below is an optimized crystal structure of SrEu2, with properties calculated at the PBE-GGA level.

```
6
Lattice="0.000 5.247 5.247 5.247 0.000 5.247 5.247 5.247 0.000" Properties=species:S:1:pos:R:3 pbc="T T T"
Sr 1.312 1.312 1.312
Sr 9.182 9.182 9.182
Eu 5.247 2.623 2.623
Eu 2.623 5.247 2.623
Eu 2.623 2.623 5.247
Eu 5.247 5.247 5.247
```

Calculated values
DFT formation energy = 58 meV per atom
symmetry = Fd-3m (227)
relative energy among the computed polymorphs = 28 meV/atom
ρ = 4.5 g cm⁻³
volume = 48.1 A^3/atom
density of states at the Fermi level = 1.026 states/eV per atom

Record 5
Below is an optimized crystal structure of SrEu3, with properties calculated at the PBE-GGA level.

```
4
Lattice="-2.869 2.869 5.695 2.869 -2.869 5.695 2.869 2.869 -5.695" Properties=species:S:1:pos:R:3 pbc="T T T"
Sr 0.000 0.000 0.000
Eu 2.869 0.000 2.847
Eu 0.000 0.000 5.695
Eu 0.000 2.869 2.847
```

Calculated values
DFT formation energy = 46 meV per atom
symmetry = I4/mmm (139)
ρ = 4.8 g cm⁻³
volume = 46.9 A^3/atom
density of states at the Fermi level = 1.598 states/eV per atom

Record 6
Below is an optimized crystal structure of Sr6Eu, with properties calculated at the PBE-GGA level.

```
7
Lattice="-5.351 5.351 5.351 5.351 -5.351 5.351 5.351 5.351 -5.351" Properties=species:S:1:pos:R:3 pbc="T T T"
Sr 5.351 2.676 0.000
Sr 5.351 0.000 2.676
Sr 2.676 5.351 0.000
Sr 2.676 0.000 5.351
Sr 0.000 5.351 2.676
Sr 0.000 2.676 5.351
Eu 0.000 0.000 0.000
```

Calculated values
DFT formation energy = 961 meV per atom
symmetry = Im-3m (229)
ρ = 1.8 g cm⁻³
volume = 87.6 A^3/atom
density of states at the Fermi level = 1.815 states/eV per atom